# Li2Y3Ge4

Li2Y3Ge4 after structural relaxation (PBE, Alexandria).

Cell: 10.9542 4.2055 8.3246 Å, 90.00 107.96 90.00°
Closest atoms and distances in Å follow each position.
Space group C2/m (No. 12)
Asymmetric unit:
Li (0.1795, 0.0000, 0.3534)  3 Ge 2.48-2.51
Y (0.0000, 0.5000, 0.0000)  8 Ge 3.04-3.39
Y (0.1307, 0.0000, 0.6896)  7 Ge 2.99-3.13, 4 Li 3.01-3.30
Ge (0.0741, 0.5000, 0.3980)  2 Li 2.48, 1 Ge 2.69
Ge (0.2101, 0.0000, 0.0672)  1 Li 2.51, 2 Ge 2.65

Total magnetization ... 0.00 μB per formula unit
Formation enthalpy at 0 K ... -702.9 meV/atom



# TbPd6Au8

TbPd6Au8 after structural relaxation (PBE, Alexandria).

Cell: 7.7518 7.7518 5.5415 Å, 90.00 90.00 120.00°
Closest atoms and distances in Å follow each position.
Space group P-3 (No. 147)
Asymmetric unit:
Tb (0.0000, 0.0000, 0.0000)  6 Pd 2.82
Pd (0.0418, 0.6725, 0.8630)  7 Au 2.75-2.97, 1 Tb 2.82, 1 Pd 2.85
Au (0.0244, 0.6967, 0.3689)  5 Pd 2.75-2.97, 3 Au 2.80-2.85
Au (0.3333, 0.6667, 0.1495)  6 Pd 2.78, 3 Au 2.80

Total magnetization ... 0.00 μB per formula unit
Polymorph energy (0 for the lowest one) ... 0 meV per atom
Formation enthalpy at 0 K ... -160.9 meV/atom



# HgBrF2

HgBrF2 after structural relaxation (PBE, Alexandria).

Cell: 3.4513 3.4513 23.4433 Å, 90.00 90.00 120.00°
Closest atoms and distances in Å follow each position.
Space group R-3m (No. 166, hexagonal axes)
Asymmetric unit:
Hg (0.0000, 0.0000, 0.0000)  6 F 2.77
Br (0.0000, 0.0000, 0.5000)  2 F 1.99
F (0.0000, 0.0000, 0.4151)  1 Br 1.99

Formation energy from raw total energies ... -0.673 eV/atom
Total magnetization ... 0.00 μB per formula unit
Polymorph energy (0 for the lowest one) ... 339 meV per atom



# Tb4Nd2TmMg

Tb4Nd2TmMg after structural relaxation (PBE, Alexandria).

Cell: 4.9953 4.9953 10.1107 Å, 90.00 90.00 90.00°
Closest atoms and distances in Å follow each position.
Space group P4/mmm (No. 123)
Asymmetric unit:
Tb (0.0000, 0.5000, 0.2499)  4 Tb 3.53, 2 Mg 3.55, 4 Nd 3.55, 2 Tm 3.55
Nd (0.0000, 0.0000, 0.0000)  4 Mg 3.53, 8 Tb 3.55
Nd (0.5000, 0.5000, 0.5000)  4 Tm 3.53, 8 Tb 3.55
Tm (0.0000, 0.0000, 0.5000)  4 Nd 3.53, 8 Tb 3.55
Mg (0.5000, 0.5000, 0.0000)  4 Nd 3.53, 8 Tb 3.55

Total magnetization ... 0.00 μB per formula unit
Formation enthalpy at 0 K ... 26.1 meV/atom



# RuAuSN2

RuAuSN2 after structural relaxation (PBE, Alexandria).

Cell: 3.7426 3.7426 5.3938 Å, 90.00 90.00 90.00°
Closest atoms and distances in Å follow each position.
Space group P4/mmm (No. 123)
Asymmetric unit:
Ru (0.0000, 0.0000, 0.0000)  4 N 1.87
Au (0.5000, 0.5000, 0.5000)  4 S 2.65
S (0.0000, 0.0000, 0.5000)  4 Au 2.65, 2 Ru 2.70
N (0.0000, 0.5000, 0.0000)  2 Ru 1.87

Formation energy from raw total energies ... 0.862 eV/atom
Total magnetization ... 0.26 μB per formula unit
Polymorph energy (0 for the lowest one) ... 0 meV per atom



# Pr2MgGa4Ni3

Pr2MgGa4Ni3 after structural relaxation (PBE, Alexandria).

Cell: 4.1676 4.1676 10.6687 Å, 90.00 90.00 90.00°
Closest atoms and distances in Å follow each position.
Space group P-4m2 (No. 115)
Asymmetric unit:
Pr (0.0000, 0.5000, 0.2310)  4 Ni 3.16, 8 Ga 3.20-3.23
Mg (0.0000, 0.0000, 0.5000)  4 Ga 2.64, 4 Ni 2.95
Ga (0.0000, 0.0000, 0.0000)  4 Ni 2.46
Ga (0.0000, 0.5000, 0.6522)  3 Ni 2.40-2.64, 2 Mg 2.64
Ga (0.5000, 0.5000, 0.0000)  4 Ni 2.46
Ni (0.0000, 0.5000, 0.8769)  5 Ga 2.40-2.46
Ni (0.5000, 0.5000, 0.5000)  4 Ga 2.64, 4 Mg 2.95

Total magnetization ... 0.00 μB per formula unit
Formation enthalpy at 0 K ... -502.5 meV/atom



# SbAuBr

SbAuBr after structural relaxation (PBE, Alexandria).

Cell: 5.1911 5.1930 9.8420 Å, 95.32 95.78 116.08°
Closest atoms and distances in Å follow each position.
Space group P-1 (No. 2)
Asymmetric unit:
Sb (0.1860, 0.1874, 0.3789)  1 Br 2.57, 2 Au 2.73
Au (0.2785, 0.7216, 0.5000)  4 Sb 2.73-2.99, 2 Au 2.79
Br (0.3455, 0.3494, 0.1497)  1 Sb 2.57

Formation energy from raw total energies ... -0.144 eV/atom
Total magnetization ... 0.00 μB per formula unit
Polymorph energy (0 for the lowest one) ... 16 meV per atom



# Pm4SmHo2

Pm4SmHo2 after structural relaxation (PBE, Alexandria).

Cell: 6.2018 6.6365 11.7285 Å, 90.00 105.25 90.00°
Closest atoms and distances in Å follow each position.
Space group P2_1/m (No. 11)
Asymmetric unit:
Pm (0.0227, 0.2500, 0.3568)  3 Sm 3.41-3.49, 2 Pm 3.41, 3 Ho 3.42-3.54
Pm (0.1484, 0.2500, 0.9464)  1 Sm 3.39, 4 Ho 3.40-3.45, 4 Pm 3.49-3.57
Pm (0.3523, 0.5047, 0.2138)  5 Pm 3.26-3.57, 1 Sm 3.43, 2 Ho 3.55-3.63
Sm (0.1565, 0.2500, 0.6583)  6 Pm 3.39-3.49, 2 Ho 3.46-3.73
Ho (0.2905, 0.7500, 0.9304)  9 Pm 3.40-3.63
Ho (0.3980, 0.7500, 0.5025)  6 Pm 3.43-3.70, 2 Sm 3.46-3.73, 2 Ho 3.56

Total magnetization ... 0.00 μB per formula unit
Polymorph energy (0 for the lowest one) ... 66 meV per atom
Formation enthalpy at 0 K ... 123.7 meV/atom



# SmGaCuPt3

SmGaCuPt3 after structural relaxation (PBE, Alexandria).

Cell: 5.7102 13.1135 5.7557 Å, 90.00 90.00 90.00°
Closest atoms and distances in Å follow each position.
Space group Cmcm (No. 63)
Asymmetric unit:
Sm (0.0000, 0.1764, 0.2500)  1 Cu 2.68, 2 Pt 2.86, 2 Ga 2.96
Ga (0.0000, 0.1230, 0.7500)  5 Pt 2.52-2.60
Cu (0.0000, 0.3805, 0.2500)  4 Pt 2.55, 1 Sm 2.68, 2 Ga 2.86
Pt (0.0000, 0.3154, 0.7500)  1 Ga 2.52
Pt (0.2464, 0.5000, 0.0000)  2 Cu 2.55, 2 Ga 2.60, 1 Pt 2.81

Total magnetization ... 0.00 μB per formula unit
Formation enthalpy at 0 K ... -584.3 meV/atom



# Ba3Os

Ba3Os after structural relaxation (PBE, Alexandria).

Cell: 5.3530 5.3530 19.4218 Å, 90.00 90.00 90.00°
Closest atoms and distances in Å follow each position.
Space group I4/mmm (No. 139)
Asymmetric unit:
Ba (0.0000, 0.0000, 0.1282)  8 Ba 3.57-3.66, 4 Os 3.79
Ba (0.0000, 0.5000, 0.0000)  8 Ba 3.66-3.79, 4 Os 3.78
Ba (0.0000, 0.5000, 0.2500)  4 Os 3.45, 8 Ba 3.57-3.79
Os (0.0000, 0.0000, 0.3622)  12 Ba 3.45-3.79

Total magnetization ... 0.00 μB per formula unit
Formation enthalpy at 0 K ... 796.2 meV/atom



# Si3PtCl

Si3PtCl after structural relaxation (PBE, Alexandria).

Cell: 4.5340 4.5340 4.5340 Å, 90.00 90.00 90.00°
Closest atoms and distances in Å follow each position.
Space group Pm-3m (No. 221)
Asymmetric unit:
Si (0.0000, 0.0000, 0.5000)  2 Cl 2.27
Pt (0.5000, 0.5000, 0.5000)  12 Si 3.21
Cl (0.0000, 0.0000, 0.0000)  6 Si 2.27

Formation energy from raw total energies ... 1.215 eV/atom
Total magnetization ... 0.00 μB per formula unit
Polymorph energy (0 for the lowest one) ... 782 meV per atom



# Tb2PmPrHo5

Tb2PmPrHo5 after structural relaxation (PBE, Alexandria).

Cell: 8.8392 8.8392 15.0176 Å, 90.00 90.00 90.00°
Closest atoms and distances in Å follow each position.
Space group I4/mcm (No. 140)
Asymmetric unit:
Tb (0.1148, 0.3852, 0.0000)  1 Tb 2.87, 2 Ho 3.01
Pm (0.0000, 0.5000, 0.2500)  4 Ho 3.11
Pr (0.0000, 0.0000, 0.2500)  10 Ho 3.63-3.75
Ho (0.0000, 0.0000, 0.0000)  4 Tb 3.55, 8 Ho 3.75, 2 Pr 3.75
Ho (0.2050, 0.2950, 0.3671)  1 Tb 3.01, 1 Pm 3.11

Total magnetization ... 0.00 μB per formula unit
Formation enthalpy at 0 K ... 272.5 meV/atom



Number 1: energy -5.34 eV per atom. Number 2: energy -4.29 eV per atom. Number 3: energy -2.10 eV per atom. Number 4: energy -4.24 eV per atom. Number 5: energy -5.80 eV per atom. Number 6: energy -4.56 eV per atom. Number 7: energy -3.17 eV per atom. Number 8: energy -4.57 eV per atom. Number 9: energy -5.58 eV per atom. Number 10: energy -3.45 eV per atom. Number 11: energy -3.62 eV per atom. Number 12: energy -4.36 eV per atom.